1 | Compound: Pm8RuPt2
Source: Alexandria via LeMat-Bulk
Functional: PBE
Structure: optimized geometry

It has space group Cm (No. 8), with a = 8.5380 Å, b = 12.8098 Å, c = 6.3446 Å, α = 90.00°, β = 111.18° and γ = 90.00°. The distinct sites, in fractional coordinates, are Pm at (0.0000, 0.0000, 0.0000), Pm at (0.0660, 0.3700, 0.7867), Pm at (0.1417, 0.1291, 0.5566), Pm at (0.2083, 0.5000, 0.3699), Pm at (0.3516, 0.2013, 0.1835), Ru at (0.3567, 0.0000, 0.3599) and Pt at (0.3572, 0.3146, 0.6838).


2 | Compound: Pm8RuPt2
Source: Alexandria via LeMat-Bulk
Functional: PBE
Structure: optimized geometry

It has space group C2/m (No. 12), with a = 17.6717 Å, b = 5.0780 Å, c = 6.9636 Å, α = 90.00°, β = 99.58° and γ = 90.00°. The distinct sites, in fractional coordinates, are Pm at (0.0330, 0.0000, 0.2833), Pm at (0.0875, 0.5000, 0.9382), Pm at (0.1623, 0.5000, 0.4659), Pm at (0.2036, 0.0000, 0.8298), Ru at (0.0000, 0.5000, 0.5000) and Pt at (0.2010, 0.0000, 0.2380).


It turns out 2 is the most stable, with the second structure 72 meV/atom higher.


1 | Compound: TbPmRuPt
Source: Alexandria via LeMat-Bulk
Functional: PBE
Structure: optimized geometry

It has space group P4mm (No. 99), with a = 3.4887 Å, b = 3.4887 Å, c = 7.0398 Å, α = 90.00°, β = 90.00° and γ = 90.00°. The distinct sites, in fractional coordinates, are Tb at (0.0000, 0.0000, 0.0000), Pm at (0.0000, 0.0000, 0.5111), Ru at (0.5000, 0.5000, 0.7622) and Pt at (0.5000, 0.5000, 0.2430).


2 | Compound: TbPmRuPt
Source: Alexandria via LeMat-Bulk
Functional: PBE
Structure: optimized geometry

It has space group F-43m (No. 216), with a = 6.9972 Å, b = 6.9972 Å, c = 6.9972 Å, α = 90.00°, β = 90.00° and γ = 90.00°. The distinct sites, in fractional coordinates, are Tb at (0.0000, 0.0000, 0.0000), Pm at (0.0000, 0.0000, 0.5000), Ru at (0.2500, 0.2500, 0.2500) and Pt at (0.2500, 0.2500, 0.7500).


It turns out 1 is the most stable, with the second structure 47 meV/atom higher.


1 | Compound: Pm4PtS3
Source: Alexandria via LeMat-Bulk
Functional: PBE
Structure: optimized geometry

It has space group Pm-3m (No. 221), with a = 5.7890 Å, b = 5.7890 Å, c = 5.7890 Å, α = 90.00°, β = 90.00° and γ = 90.00°. The distinct sites, in fractional coordinates, are Pm at (0.0000, 0.0000, 0.0000), Pm at (0.0000, 0.5000, 0.5000), Pt at (0.5000, 0.5000, 0.5000) and S at (0.0000, 0.0000, 0.5000).


2 | Compound: Pm4PtS3
Source: Alexandria via LeMat-Bulk
Functional: PBE
Structure: optimized geometry

It has space group Cmmm (No. 65), with a = 8.2572 Å, b = 11.6094 Å, c = 4.0249 Å, α = 90.00°, β = 90.00° and γ = 90.00°. The distinct sites, in fractional coordinates, are Pm at (0.0000, 0.2471, 0.0000), Pm at (0.2501, 0.0000, 0.5000), Pt at (0.0000, 0.5000, 0.0000), S at (0.0000, 0.0000, 0.0000) and S at (0.2500, 0.2500, 0.5000).


It turns out 2 is the most stable, with the second structure 31 meV/atom higher.


1 | Compound: Pm2SbPt
Source: Alexandria via LeMat-Bulk
Functional: PBE
Structure: optimized geometry

It has space group P4/mmm (No. 123), with a = 3.7241 Å, b = 3.7241 Å, c = 7.4660 Å, α = 90.00°, β = 90.00° and γ = 90.00°. The distinct sites, in fractional coordinates, are Pm at (0.0000, 0.0000, 0.2291), Sb at (0.5000, 0.5000, 0.5000) and Pt at (0.5000, 0.5000, 0.0000).


2 | Compound: Pm2SbPt
Source: Alexandria via LeMat-Bulk
Functional: PBE
Structure: optimized geometry

It has space group Fm-3m (No. 225), with a = 7.4570 Å, b = 7.4570 Å, c = 7.4570 Å, α = 90.00°, β = 90.00° and γ = 90.00°. The distinct sites, in fractional coordinates, are Pm at (0.2500, 0.2500, 0.2500), Sb at (0.0000, 0.0000, 0.0000) and Pt at (0.0000, 0.0000, 0.5000).


It turns out 1 is the most stable, with the second structure 62 meV/atom higher.


1 | Compound: PmSc2Pt
Source: Alexandria via LeMat-Bulk
Functional: PBE
Structure: optimized geometry

It has space group R3m (No. 160, hexagonal axes), with a = 4.5415 Å, b = 4.5415 Å, c = 17.3379 Å, α = 90.00°, β = 90.00° and γ = 120.00°. The distinct sites, in fractional coordinates, are Pm at (0.0000, 0.0000, 0.0000), Sc at (0.0000, 0.0000, 0.5510), Sc at (0.0000, 0.0000, 0.7896) and Pt at (0.0000, 0.0000, 0.1775).


2 | Compound: PmSc2Pt
Source: Alexandria via LeMat-Bulk
Functional: PBE
Structure: optimized geometry

It has space group P4/mmm (No. 123), with a = 3.3816 Å, b = 3.3816 Å, c = 8.1674 Å, α = 90.00°, β = 90.00° and γ = 90.00°. The distinct sites, in fractional coordinates, are Pm at (0.0000, 0.0000, 0.0000), Sc at (0.5000, 0.5000, 0.3104) and Pt at (0.0000, 0.0000, 0.5000).


3 | Compound: PmSc2Pt
Source: Alexandria via LeMat-Bulk
Functional: PBE
Structure: optimized geometry

It has space group R-3m (No. 166, hexagonal axes), with a = 4.5138 Å, b = 4.5138 Å, c = 16.9647 Å, α = 90.00°, β = 90.00° and γ = 120.00°. The distinct sites, in fractional coordinates, are Pm at (0.0000, 0.0000, 0.0000), Sc at (0.0000, 0.0000, 0.2143) and Pt at (0.0000, 0.0000, 0.5000).


It turns out 2 is the most stable, with the second structure 64 meV/atom higher.


1 | Compound: PmScPt2
Source: Alexandria via LeMat-Bulk
Functional: PBE
Structure: optimized geometry

It has space group P2_1/m (No. 11), with a = 5.8012 Å, b = 4.5162 Å, c = 6.9379 Å, α = 90.00°, β = 111.80° and γ = 90.00°. The distinct sites, in fractional coordinates, are Pm at (0.1798, 0.2500, 0.3911), Sc at (0.3682, 0.7500, 0.0993), Pt at (0.1131, 0.2500, 0.9001) and Pt at (0.3651, 0.7500, 0.7133).


2 | Compound: PmScPt2
Source: Alexandria via LeMat-Bulk
Functional: PBE
Structure: optimized geometry

It has space group R-3m (No. 166, hexagonal axes), with a = 4.6027 Å, b = 4.6027 Å, c = 14.0806 Å, α = 90.00°, β = 90.00° and γ = 120.00°. The distinct sites, in fractional coordinates, are Pm at (0.0000, 0.0000, 0.0000), Sc at (0.0000, 0.0000, 0.5000) and Pt at (0.0000, 0.0000, 0.2195).


It turns out 1 is the most stable, with the second structure 32 meV/atom higher.


1 | Compound: Pm2PtSe
Source: Alexandria via LeMat-Bulk
Functional: PBE
Structure: optimized geometry

It has space group R3m (No. 160, hexagonal axes), with a = 4.1360 Å, b = 4.1360 Å, c = 22.0022 Å, α = 90.00°, β = 90.00° and γ = 120.00°. The distinct sites, in fractional coordinates, are Pm at (0.0000, 0.0000, 0.0000), Pm at (0.0000, 0.0000, 0.1838), Pt at (0.0000, 0.0000, 0.5919) and Se at (0.0000, 0.0000, 0.4244).


2 | Compound: Pm2PtSe
Source: Alexandria via LeMat-Bulk
Functional: PBE
Structure: optimized geometry

It has space group Cmcm (No. 63), with a = 3.9647 Å, b = 23.0615 Å, c = 4.4278 Å, α = 90.00°, β = 90.00° and γ = 90.00°. The distinct sites, in fractional coordinates, are Pm at (0.0000, 0.0616, 0.2500), Pm at (0.0000, 0.3210, 0.2500), Pt at (0.0000, 0.4550, 0.2500) and Se at (0.0000, 0.1911, 0.2500).


It turns out 2 is the most stable, with the second structure 72 meV/atom higher.


1 | Compound: Pm4PtSe3
Source: Alexandria via LeMat-Bulk
Functional: PBE
Structure: optimized geometry

It has space group Pm-3m (No. 221), with a = 5.9496 Å, b = 5.9496 Å, c = 5.9496 Å, α = 90.00°, β = 90.00° and γ = 90.00°. The distinct sites, in fractional coordinates, are Pm at (0.0000, 0.0000, 0.0000), Pm at (0.0000, 0.5000, 0.5000), Pt at (0.5000, 0.5000, 0.5000) and Se at (0.0000, 0.0000, 0.5000).


2 | Compound: Pm4PtSe3
Source: Alexandria via LeMat-Bulk
Functional: PBE
Structure: optimized geometry

It has space group Cmmm (No. 65), with a = 8.5258 Å, b = 11.9867 Å, c = 4.1404 Å, α = 90.00°, β = 90.00° and γ = 90.00°. The distinct sites, in fractional coordinates, are Pm at (0.0000, 0.2480, 0.0000), Pm at (0.2366, 0.0000, 0.5000), Pt at (0.0000, 0.0000, 0.0000), Se at (0.0000, 0.5000, 0.0000) and Se at (0.2500, 0.2500, 0.5000).


It turns out 2 is the most stable, with the second structure 43 meV/atom higher.


1 | Compound: Pm2Si3Pt5
Source: Alexandria via LeMat-Bulk
Functional: PBE
Structure: optimized geometry

It has space group Ibam (No. 72), with a = 9.7984 Å, b = 12.8963 Å, c = 5.7891 Å, α = 90.00°, β = 90.00° and γ = 90.00°. The distinct sites, in fractional coordinates, are Pm at (0.2356, 0.1273, 0.0000), Si at (0.0000, 0.0000, 0.2500), Si at (0.1424, 0.3890, 0.0000), Pt at (0.0000, 0.2809, 0.2500), Pt at (0.0000, 0.5000, 0.2500) and Pt at (0.1167, 0.1216, 0.5000).


2 | Compound: Pm2Si3Pt5
Source: Alexandria via LeMat-Bulk
Functional: PBE
Structure: optimized geometry

It has space group P-4m2 (No. 115), with a = 4.0888 Å, b = 4.0888 Å, c = 11.0626 Å, α = 90.00°, β = 90.00° and γ = 90.00°. The distinct sites, in fractional coordinates, are Pm at (0.0000, 0.5000, 0.2364), Si at (0.0000, 0.5000, 0.6274), Si at (0.5000, 0.5000, 0.5000), Pt at (0.0000, 0.0000, 0.0000), Pt at (0.0000, 0.0000, 0.5000), Pt at (0.0000, 0.5000, 0.8335) and Pt at (0.5000, 0.5000, 0.0000).


It turns out 1 is the most stable, with the second structure 247 meV/atom higher.


1 | Compound: Pm3Si2Pt
Source: Alexandria via LeMat-Bulk
Functional: PBE
Structure: optimized geometry

It has space group Pnma (No. 62), with a = 11.7289 Å, b = 4.3148 Å, c = 11.6964 Å, α = 90.00°, β = 90.00° and γ = 90.00°. The distinct sites, in fractional coordinates, are Pm at (0.0592, 0.2500, 0.1212), Pm at (0.1178, 0.7500, 0.5602), Pm at (0.2071, 0.2500, 0.8075), Si at (0.0253, 0.7500, 0.3099), Si at (0.1948, 0.7500, 0.9960) and Pt at (0.1298, 0.2500, 0.3652).


2 | Compound: Pm3Si2Pt
Source: Alexandria via LeMat-Bulk
Functional: PBE
Structure: optimized geometry

It has space group R-3c (No. 167, hexagonal axes), with a = 7.9715 Å, b = 7.9715 Å, c = 17.3489 Å, α = 90.00°, β = 90.00° and γ = 120.00°. The distinct sites, in fractional coordinates, are Pm at (0.0000, 0.3044, 0.2500), Si at (0.0000, 0.0000, 0.1446) and Pt at (0.0000, 0.0000, 0.0000).


It turns out 1 is the most stable, with the second structure 130 meV/atom higher.


1 | Compound: Pm2Si3Pt2
Source: Alexandria via LeMat-Bulk
Functional: PBE
Structure: optimized geometry

It has space group Cmcm (No. 63), with a = 4.2637 Å, b = 17.8900 Å, c = 6.9744 Å, α = 90.00°, β = 90.00° and γ = 90.00°. The distinct sites, in fractional coordinates, are Pm at (0.0000, 0.0556, 0.2500), Pm at (0.0000, 0.1531, 0.7500), Si at (0.0000, 0.2262, 0.2500), Si at (0.0000, 0.4401, 0.0716) and Pt at (0.0000, 0.3083, 0.5470).


2 | Compound: Pm2Si3Pt2
Source: Alexandria via LeMat-Bulk
Functional: PBE
Structure: optimized geometry

It has space group C2/m (No. 12), with a = 10.5046 Å, b = 4.1987 Å, c = 6.5653 Å, α = 90.00°, β = 114.14° and γ = 90.00°. The distinct sites, in fractional coordinates, are Pm at (0.1532, 0.0000, 0.2818), Si at (0.0000, 0.5000, 0.5000), Si at (0.1037, 0.5000, 0.9376) and Pt at (0.1401, 0.0000, 0.7560).


It turns out 1 is the most stable, with the second structure 135 meV/atom higher.